Entry 1:
{"formula": "YIrRu2C", "functional": "PBE", "state": "relaxed", "formation_enthalpy_0k_ev_per_atom": -0.2598, "lattice_angstrom": [[-0.886, -3.129, 2.658], [1.894, -2.724, -2.575], [3.583, 0.645, 1.954]], "species": ["C", "Ru", "Ir", "Ru", "Y"], "fractional_positions": [[0.000, 0.000, 0.000], [0.500, 0.000, 0.000], [0.000, 0.000, 0.500], [0.000, 0.500, 0.000], [0.500, 0.500, 0.500]]}

Entry 2:
{"formula": "TaPdO", "functional": "PBE", "state": "relaxed", "final_energy_ev_per_cell": -103.0, "lattice_angstrom": [[3.077, 0.000, 0.000], [0.000, 6.128, -1.192], [0.000, -1.087, 10.731]], "species": ["Ta", "O", "Pd", "Pd", "Ta", "Ta", "O", "Pd", "Ta", "O", "Pd", "O"], "fractional_positions": [[0.750, 0.252, 0.754], [0.250, 0.444, 0.137], [0.250, 0.919, 0.588], [0.250, 0.419, 0.588], [0.750, 0.752, 0.754], [0.250, 0.748, 0.246], [0.250, 0.944, 0.137], [0.750, 0.081, 0.412], [0.250, 0.248, 0.246], [0.750, 0.556, 0.863], [0.750, 0.581, 0.412], [0.750, 0.056, 0.863]]}

Entry 3:
{"formula": "NdY2Er", "functional": "PBE", "state": "relaxed", "de_polymorph_mev_per_atom": 115, "formation_enthalpy_0k_ev_per_atom": 0.1259, "lattice_angstrom": [[-0.273, 5.532, -1.398], [-0.639, 1.537, -5.465], [-4.939, 2.258, -1.773]], "species": ["Y", "Nd", "Er", "Y"], "fractional_positions": [[0.750, 0.750, 0.750], [0.500, 0.500, 0.500], [0.000, 0.000, 0.000], [0.250, 0.250, 0.250]]}

Entry 4:
{"formula": "SrCd2Ge2", "functional": "PBE", "state": "relaxed", "formation_enthalpy_0k_ev_per_atom": -0.2186, "lattice_angstrom": [[-4.344, -1.332, -0.856], [1.439, -4.363, -0.516], [-2.293, -3.806, 5.078]], "species": ["Cd", "Ge", "Sr", "Ge", "Cd"], "fractional_positions": [[0.383, 0.383, 0.233], [0.250, 0.750, 0.500], [0.000, 0.000, 0.000], [0.750, 0.250, 0.500], [0.617, 0.617, 0.767]]}

Entry 5:
{"formula": "RbLuPb", "functional": "PBE", "state": "relaxed", "formation_enthalpy_0k_ev_per_atom": 0.0734, "lattice_angstrom": [[-0.751, 2.875, 2.465], [-3.086, -1.922, 1.300], [6.442, -4.015, 3.623]], "species": ["Pb", "Rb", "Lu"], "fractional_positions": [[0.690, 0.690, 0.381], [0.016, 0.016, 0.032], [0.293, 0.293, 0.587]]}